# 1
Density functional theory data (PBE) for Er2PuRu3 after structural relaxation.

Values from the calculation:
electronic total energy = -8.514 eV per atom
energy above the most stable polymorph in this dataset = 378 meV per atom
DFT formation energy = 33.8 meV/atom
symmetry = Immm, No. 71

a = 3.277 Å, b = 5.525 Å, c = 7.535 Å
α = 111.51°, β = 102.56°, γ = 90.00°
Element x y z (fractional)
Pu (0.000, 0.500, 0.000)
Er (0.332, 0.832, 0.663)
Er (0.668, 0.168, 0.337)
Ru (0.000, 0.000, 0.000)
Ru (0.348, 0.348, 0.697)
Ru (0.652, 0.652, 0.303)


# 2
Density functional theory data (PBE) for Er5PuRu3 after structural relaxation.

Values from the calculation:
electronic total energy = -7.395 eV per atom
DFT formation energy = -175.9 meV/atom
symmetry = C2/m, No. 12

a = 7.445 Å, b = 7.445 Å, c = 9.646 Å
α = 75.18°, β = 75.18°, γ = 72.87°
Element x y z (fractional)
Er (0.306, 0.694, 0.000)
Er (0.995, 0.384, 0.358)
Er (0.760, 0.760, 0.056)
Er (0.384, 0.995, 0.358)
Er (0.470, 0.470, 0.345)
Er (0.616, 0.005, 0.642)
Er (0.240, 0.240, 0.944)
Er (0.005, 0.616, 0.642)
Er (0.530, 0.530, 0.655)
Er (0.694, 0.306, 0.000)
Ru (0.663, 0.663, 0.836)
Ru (0.293, 0.293, 0.611)
Ru (0.000, 0.000, 0.000)
Ru (0.707, 0.707, 0.389)
Ru (0.000, 0.000, 0.500)
Ru (0.337, 0.337, 0.164)
Pu (0.066, 0.066, 0.722)
Pu (0.934, 0.934, 0.278)


# 3
Density functional theory data (PBE) for Er2PuRu after structural relaxation.

Values from the calculation:
electronic total energy = -8.020 eV per atom
energy above the most stable polymorph in this dataset = 412 meV per atom
DFT formation energy = 163.1 meV/atom
symmetry = R-3m, No. 166

a = 3.389 Å, b = 3.389 Å, c = 10.739 Å
α = 80.92°, β = 80.92°, γ = 60.00°
Element x y z (fractional)
Ru (0.500, 0.500, 0.500)
Er (0.105, 0.105, 0.685)
Er (0.895, 0.895, 0.315)
Pu (0.000, 0.000, 0.000)


# 4
Density functional theory data (PBE) for Er2Pu2Ru3 after structural relaxation.

Values from the calculation:
electronic total energy = -9.613 eV per atom
energy above the most stable polymorph in this dataset = 0 meV per atom
DFT formation energy = -238.9 meV/atom
symmetry = R-3m, No. 166

a = 4.623 Å, b = 4.623 Å, c = 8.594 Å
α = 90.01°, β = 105.62°, γ = 119.99°
Element x y z (fractional)
Er (0.748, 0.874, 0.621)
Er (0.252, 0.126, 0.379)
Pu (0.756, 0.378, 0.134)
Pu (0.244, 0.622, 0.866)
Ru (0.512, 0.256, 0.768)
Ru (0.488, 0.744, 0.232)
Ru (0.000, 0.000, 0.000)


# 5
Density functional theory data (PBE) for Er2PuRu after structural relaxation.

Values from the calculation:
electronic total energy = -8.370 eV per atom
energy above the most stable polymorph in this dataset = 62 meV per atom
DFT formation energy = -187.0 meV/atom
symmetry = P4/mmm, No. 123

a = 3.368 Å, b = 3.368 Å, c = 8.724 Å
α = 90.00°, β = 90.00°, γ = 90.00°
Element x y z (fractional)
Er (0.000, 0.000, 0.811)
Er (0.000, 0.000, 0.189)
Pu (0.500, 0.500, 0.500)
Ru (0.500, 0.500, 0.000)


# 6
Density functional theory data (PBE) for Er2PuRu2 after structural relaxation.

Values from the calculation:
electronic total energy = -8.718 eV per atom
energy above the most stable polymorph in this dataset = 74 meV per atom
DFT formation energy = -316.3 meV/atom
symmetry = P2_1/c, No. 14

a = 6.214 Å, b = 8.247 Å, c = 8.438 Å
α = 90.00°, β = 90.09°, γ = 90.00°
Element x y z (fractional)
Pu (0.250, 0.009, 0.605)
Pu (0.250, 0.509, 0.395)
Pu (0.750, 0.491, 0.605)
Pu (0.750, 0.991, 0.395)
Er (0.751, 0.630, 0.219)
Er (0.999, 0.751, 0.875)
Er (0.499, 0.749, 0.875)
Er (0.001, 0.249, 0.125)
Er (0.251, 0.870, 0.219)
Er (0.749, 0.130, 0.781)
Er (0.501, 0.251, 0.125)
Er (0.249, 0.370, 0.781)
Ru (0.250, 0.044, 0.919)
Ru (0.250, 0.544, 0.081)
Ru (0.499, 0.250, 0.476)
Ru (0.001, 0.750, 0.524)
Ru (0.999, 0.250, 0.476)
Ru (0.750, 0.456, 0.919)
Ru (0.501, 0.750, 0.524)
Ru (0.750, 0.956, 0.081)


# 7
Density functional theory data (PBE) for ErPuRu2 after structural relaxation.

Values from the calculation:
electronic total energy = -9.662 eV per atom
DFT formation energy = -300.0 meV/atom
symmetry = P4/mmm, No. 123

a = 3.362 Å, b = 3.362 Å, c = 6.813 Å
α = 90.00°, β = 90.00°, γ = 90.00°
Element x y z (fractional)
Er (0.500, 0.500, 0.000)
Ru (0.000, 0.000, 0.735)
Ru (0.000, 0.000, 0.265)
Pu (0.500, 0.500, 0.500)


# 8
Density functional theory data (PBE) for Er3PuRu2 after structural relaxation.

Values from the calculation:
electronic total energy = -8.000 eV per atom
DFT formation energy = -238.2 meV/atom
symmetry = Ibam, No. 72

a = 7.041 Å, b = 8.214 Å, c = 8.214 Å
α = 47.56°, β = 64.62°, γ = 64.62°
Element x y z (fractional)
Er (0.986, 0.764, 0.764)
Er (0.250, 0.500, 0.500)
Er (0.014, 0.236, 0.236)
Er (0.486, 0.764, 0.764)
Er (0.514, 0.236, 0.236)
Er (0.750, 0.500, 0.500)
Pu (0.000, 0.000, 0.000)
Pu (0.500, 0.000, 0.000)
Ru (0.873, 0.865, 0.390)
Ru (0.373, 0.390, 0.865)
Ru (0.627, 0.610, 0.135)
Ru (0.127, 0.135, 0.610)


# 9
Density functional theory data (PBE) for Er2PuRu3 after structural relaxation.

Values from the calculation:
electronic total energy = -8.892 eV per atom
energy above the most stable polymorph in this dataset = 0 meV per atom
DFT formation energy = -344.5 meV/atom
symmetry = Cmmm, No. 65

a = 4.759 Å, b = 7.531 Å, c = 6.771 Å
α = 90.00°, β = 90.01°, γ = 71.58°
Element x y z (fractional)
Er (0.000, 0.000, 0.500)
Er (0.000, 0.000, 0.000)
Er (0.666, 0.668, 0.500)
Er (0.334, 0.332, 0.500)
Ru (0.171, 0.658, 0.235)
Ru (0.500, 0.000, 0.241)
Ru (0.829, 0.342, 0.235)
Ru (0.171, 0.658, 0.765)
Ru (0.500, 0.000, 0.759)
Ru (0.829, 0.342, 0.765)
Pu (0.664, 0.671, 0.000)
Pu (0.336, 0.329, 0.000)


# 10
Density functional theory data (PBE) for Er2Pu2Ru3 after structural relaxation.

Values from the calculation:
electronic total energy = -9.470 eV per atom
energy above the most stable polymorph in this dataset = 143 meV per atom
DFT formation energy = -96.0 meV/atom
symmetry = C2/m, No. 12

a = 4.894 Å, b = 5.502 Å, c = 6.532 Å
α = 116.29°, β = 90.00°, γ = 116.41°
Element x y z (fractional)
Pu (0.093, 0.186, 0.444)
Pu (0.907, 0.814, 0.556)
Ru (0.358, 0.715, 0.766)
Ru (0.642, 0.285, 0.234)
Ru (0.000, 0.000, 0.000)
Er (0.337, 0.674, 0.201)
Er (0.663, 0.326, 0.799)


# 11
Density functional theory data (PBE) for ErPuTcRu after structural relaxation.

Values from the calculation:
electronic total energy = -9.787 eV per atom
DFT formation energy = -152.4 meV/atom
symmetry = F-43m, No. 216

a = 4.765 Å, b = 4.765 Å, c = 4.765 Å
α = 60.00°, β = 60.00°, γ = 60.00°
Element x y z (fractional)
Er (0.000, 0.000, 0.000)
Pu (0.500, 0.500, 0.500)
Tc (0.750, 0.750, 0.750)
Ru (0.250, 0.250, 0.250)


# 12
Density functional theory data (PBE) for ErPuZnRu after structural relaxation.

Values from the calculation:
electronic total energy = -7.556 eV per atom
DFT formation energy = -195.0 meV/atom
symmetry = F-43m, No. 216

a = 4.888 Å, b = 4.888 Å, c = 4.888 Å
α = 60.00°, β = 60.00°, γ = 60.00°
Element x y z (fractional)
Pu (0.500, 0.500, 0.500)
Er (0.000, 0.000, 0.000)
Zn (0.250, 0.250, 0.250)
Ru (0.750, 0.750, 0.750)


# 13
Density functional theory data (PBE) for Er3PuS4 after structural relaxation.

Values from the calculation:
electronic total energy = -7.494 eV per atom
symmetry = Pm-3m, No. 221
formation energy (no corrections) = -1928 meV/atom

a = 5.494 Å, b = 5.494 Å, c = 5.494 Å
α = 90.00°, β = 90.00°, γ = 90.00°
Element x y z (fractional)
S (0.500, 0.500, 0.500)
S (0.000, 0.500, 0.000)
S (0.000, 0.000, 0.500)
S (0.500, 0.000, 0.000)
Er (0.500, 0.000, 0.500)
Er (0.000, 0.500, 0.500)
Er (0.500, 0.500, 0.000)
Pu (0.000, 0.000, 0.000)


# 14
Density functional theory data (PBE) for ErPuS3 after structural relaxation.

Values from the calculation:
electronic total energy = -7.876 eV per atom
energy above the most stable polymorph in this dataset = 247 meV per atom
symmetry = Imma, No. 74
formation energy (no corrections) = -1621 meV/atom

a = 5.330 Å, b = 8.113 Å, c = 7.141 Å
α = 124.62°, β = 111.91°, γ = 90.00°
Element x y z (fractional)
Pu (0.500, 0.000, 0.000)
Pu (0.000, 0.500, 0.000)
S (0.441, 0.602, 0.881)
S (0.559, 0.398, 0.119)
S (0.941, 0.779, 0.881)
S (0.750, 0.146, 0.500)
S (0.059, 0.221, 0.119)
S (0.250, 0.854, 0.500)
Er (0.250, 0.198, 0.500)
Er (0.750, 0.802, 0.500)


# 15
Density functional theory data (PBE) for Er3Pu2S4 after structural relaxation.

Values from the calculation:
electronic total energy = -8.150 eV per atom
symmetry = C2/m, No. 12
formation energy (no corrections) = -1610 meV/atom

a = 3.811 Å, b = 6.694 Å, c = 8.723 Å
α = 74.97°, β = 77.38°, γ = 73.46°
Element x y z (fractional)
Pu (0.405, 0.781, 0.408)
Pu (0.595, 0.219, 0.592)
S (0.805, 0.092, 0.298)
S (0.395, 0.304, 0.907)
S (0.195, 0.908, 0.702)
S (0.605, 0.696, 0.093)
Er (0.000, 0.000, 0.000)
Er (0.798, 0.606, 0.798)
Er (0.202, 0.394, 0.202)


# 16
Density functional theory data (PBE) for Er2Pu2S7 after structural relaxation.

Values from the calculation:
electronic total energy = -7.708 eV per atom
symmetry = Imm2, No. 44
formation energy (no corrections) = -1646 meV/atom

a = 3.884 Å, b = 8.379 Å, c = 8.379 Å
α = 61.07°, β = 76.60°, γ = 76.60°
Element x y z (fractional)
S (0.138, 0.140, 0.583)
S (0.816, 0.077, 0.292)
S (0.610, 0.496, 0.284)
S (0.184, 0.708, 0.923)
S (0.500, 0.008, 0.992)
S (0.862, 0.417, 0.860)
S (0.390, 0.716, 0.504)
Pu (0.257, 0.331, 0.154)
Pu (0.743, 0.846, 0.669)
Er (0.000, 0.787, 0.213)
Er (0.500, 0.328, 0.672)


# 17
Density functional theory data (PBE) for Er5Pu3S8 after structural relaxation.

Values from the calculation:
electronic total energy = -8.092 eV per atom
symmetry = R-3m, No. 166
formation energy (no corrections) = -1916 meV/atom

a = 7.774 Å, b = 7.774 Å, c = 7.815 Å
α = 60.17°, β = 60.17°, γ = 60.00°
Element x y z (fractional)
Er (0.500, 0.500, 0.000)
Er (0.500, 0.500, 0.500)
Er (0.500, 0.000, 0.000)
Er (0.000, 0.500, 0.000)
Er (0.000, 0.000, 0.000)
S (0.250, 0.745, 0.755)
S (0.748, 0.748, 0.757)
S (0.255, 0.750, 0.245)
S (0.750, 0.750, 0.245)
S (0.250, 0.250, 0.755)
S (0.750, 0.255, 0.245)
S (0.252, 0.252, 0.243)
S (0.745, 0.250, 0.755)
Pu (0.500, 0.000, 0.500)
Pu (0.000, 0.500, 0.500)
Pu (0.000, 0.000, 0.500)


# 18
Density functional theory data (PBE) for ErPu2S3 after structural relaxation.

Values from the calculation:
electronic total energy = -9.414 eV per atom
symmetry = P6_3/mmc, No. 194
formation energy (no corrections) = -1812 meV/atom

a = 3.901 Å, b = 3.901 Å, c = 19.577 Å
α = 90.00°, β = 90.00°, γ = 120.00°
Element x y z (fractional)
S (0.000, 0.000, 0.000)
S (0.333, 0.667, 0.333)
S (0.000, 0.000, 0.500)
S (0.667, 0.333, 0.833)
S (0.667, 0.333, 0.667)
S (0.333, 0.667, 0.167)
Er (0.000, 0.000, 0.750)
Er (0.000, 0.000, 0.250)
Pu (0.667, 0.333, 0.415)
Pu (0.333, 0.667, 0.915)
Pu (0.667, 0.333, 0.085)
Pu (0.333, 0.667, 0.585)


# 19
Density functional theory data (PBE) for Er4PuS5 after structural relaxation.

Values from the calculation:
electronic total energy = -7.259 eV per atom
symmetry = Immm, No. 71
formation energy (no corrections) = -1937 meV/atom

a = 3.893 Å, b = 5.480 Å, c = 10.245 Å
α = 105.51°, β = 100.95°, γ = 90.00°
Element x y z (fractional)
Er (0.599, 0.599, 0.198)
Er (0.401, 0.401, 0.802)
Er (0.801, 0.801, 0.603)
Er (0.199, 0.199, 0.397)
S (0.602, 0.102, 0.204)
S (0.200, 0.700, 0.400)
S (0.800, 0.300, 0.600)
S (0.000, 0.500, 0.000)
S (0.398, 0.898, 0.796)
Pu (0.000, 0.000, 0.000)


# 20
Density functional theory data (PBE) for ErPu2S6 after structural relaxation.

Values from the calculation:
electronic total energy = -7.809 eV per atom
symmetry = P-62m, No. 189
formation energy (no corrections) = -1365 meV/atom

a = 3.959 Å, b = 7.245 Å, c = 7.245 Å
α = 120.00°, β = 90.00°, γ = 90.00°
Element x y z (fractional)
Pu (0.000, 0.667, 0.333)
Pu (0.000, 0.333, 0.667)
S (0.500, 0.411, 0.000)
S (0.000, 0.740, 0.000)
S (0.500, 0.000, 0.411)
S (0.000, 0.000, 0.740)
S (0.500, 0.589, 0.589)
S (0.000, 0.260, 0.260)
Er (0.500, 0.000, 0.000)


no.,total magnetic moment (μB per atom),density (g/cm3)
1,0.531,11.87
2,0.571,9.48
3,1.573,10.74
4,1.229,12.36
5,1.695,11.41
6,0.927,11.99
7,1.002,13.22
8,0.812,10.16
9,0.608,12.72
10,0.322,13.65
11,0.919,13.24
12,1.315,11.62
13,0.746,8.75
14,0.991,7.44
15,1.347,9.12
16,0.731,7.56
17,1.077,9.05
18,1.855,9.67
19,0.567,8.63
20,0.834,7.82